VASP calculation (PBE-GGA) on an optimized crystal structure of KBa4Tc3O12.

Raw formation energy   -3791 kJ/mol of formula units
Density of states at the Fermi level   0.15 states/eV per atom
Total magnetic moment   0.0 μB/cell
Total energy   -138.7 eV/cell

abc: 7.2654 7.2654 7.2654
angles: 109.47 109.47 109.47
Fractional coordinates of all 20 atoms:
K 0.0000 0.0000 0.0000
Ba 0.0000 0.0000 0.5000
Ba 0.0000 0.5000 0.0000
Ba 0.5000 0.0000 0.0000
Ba 0.5000 0.5000 0.5000
Tc 0.0000 0.5000 0.5000
Tc 0.5000 0.0000 0.5000
Tc 0.5000 0.5000 0.0000
O 0.0000 0.2802 0.2802
O 0.0000 0.7198 0.7198
O 0.2500 0.5000 0.7500
O 0.2500 0.7500 0.5000
O 0.2802 0.0000 0.2802
O 0.2802 0.2802 0.0000
O 0.5000 0.2500 0.7500
O 0.5000 0.7500 0.2500
O 0.7198 0.0000 0.7198
O 0.7198 0.7198 0.0000
O 0.7500 0.2500 0.5000
O 0.7500 0.5000 0.2500